Entry 1:
DFT (GGA-PBE) results for LiCaPu2N4 after structural relaxation.

ΔE_f (raw)   -1.034 eV per atom
Calculated density   8.983 Mg/m³
E   -9.2693 eV per atom

Geometry as extended XYZ:
```
16
Lattice="1.744 -5.599 0.000 1.744 5.599 0.000 0.000 0.000 11.188" Properties=species:S:1:pos:R:3 pbc="T T T"
Li 1.744 3.715 8.391
Li 1.744 -3.715 2.797
Ca 1.744 4.511 2.797
Ca 1.744 -4.511 8.391
Pu 1.744 1.461 0.668
Pu 1.744 1.461 4.926
Pu 1.744 -1.461 6.262
Pu 1.744 -1.461 10.519
N 0.000 0.000 0.000
N 0.000 0.000 5.594
N 1.744 2.708 6.734
N 1.744 2.708 10.047
N 1.744 0.738 2.797
N 1.744 -0.738 8.391
N 1.744 -2.708 1.141
N 1.744 -2.708 4.453
```

---

Entry 2:
DFT (GGA-PBE) results for AsWIN2 after structural relaxation.

Relative energy among the computed polymorphs   632 kJ/mol of formula units
ΔE_f (raw)   2.178 eV per atom
Calculated density   6.637 Mg/m³
E   -4.9829 eV per atom

Geometry as extended XYZ:
```
5
Lattice="3.851 0.000 0.000 0.000 3.851 0.000 0.000 0.000 6.978" Properties=species:S:1:pos:R:3 pbc="T T T"
As 0.000 0.000 0.000
W 1.926 1.926 3.489
I 0.000 0.000 3.489
N 0.000 1.926 0.000
N 1.926 0.000 0.000
```

---

Entry 3:
DFT (GGA-PBE) results for LiBeMo after structural relaxation.

Relative energy among the computed polymorphs   171 kJ/mol of formula units
E_form   0.835 eV/atom
Calculated density   4.688 Mg/m³
E   -4.6550 eV per atom

Geometry as extended XYZ:
```
3
Lattice="0.000 2.706 2.706 2.706 0.000 2.706 2.706 2.706 0.000" Properties=species:S:1:pos:R:3 pbc="T T T"
Li 0.000 0.000 0.000
Be 1.353 1.353 1.353
Mo 2.706 2.706 2.706
```